(1)
Crystalline CoOs at its relaxed geometry. Source: Alexandria via LeMat-Bulk, functional GGA-PBE.

```
CoOs
1.0
3.733 0.000 0.000
-1.866 3.233 0.000
0.000 0.000 4.627
Co Os
2 2
Direct
0.000 0.000 0.000 Co
0.000 0.000 0.500 Co
0.333 0.667 0.250 Os
0.667 0.333 0.750 Os
```

Values from the calculation:
**E_form**: 0.944 eV/atom
**V**: 13.96 Å³/atom

=====

(2)
Crystalline KTl2CuAu at its relaxed geometry. Source: Alexandria via LeMat-Bulk, functional GGA-PBE.

```
KTl2CuAu
1.0
-3.228 3.614 2.043
-2.692 -3.792 2.455
3.118 0.455 4.122
Tl Au K Cu
2 1 1 1
Direct
0.000 0.500 0.000 Tl
0.500 0.000 0.000 Tl
0.000 0.000 0.500 Au
0.500 0.500 0.500 K
0.000 0.000 0.000 Cu
```

Values from the calculation:
**E_form**: 0.038 eV/atom
**V**: 28.70 Å³/atom

=====

(3)
Crystalline Y4HgPd7 at its relaxed geometry. Source: Alexandria via LeMat-Bulk, functional GGA-PBE.

```
Y4HgPd7
1.0
5.255 0.000 0.000
2.627 9.106 -0.060
2.627 0.174 5.379
Y Hg Pd
4 1 7
Direct
0.596 0.211 0.596 Y
0.404 0.789 0.404 Y
0.792 0.632 0.784 Y
0.208 0.368 0.216 Y
0.000 0.000 0.000 Hg
0.790 0.904 0.516 Pd
0.210 0.096 0.484 Pd
0.076 0.687 0.161 Pd
0.924 0.313 0.839 Pd
0.369 0.519 0.744 Pd
0.500 0.000 0.000 Pd
0.631 0.481 0.256 Pd
```

Values from the calculation:
**E_form**: -0.620 eV/atom
**V**: 21.45 Å³/atom

=====

(4)
Crystalline K2NiI2Br2 at its relaxed geometry. Source: Alexandria via LeMat-Bulk, functional GGA-PBE.

```
K2NiI2Br2
1.0
-0.193 1.707 -6.606
3.653 -5.706 -0.861
-3.175 -5.048 -4.378
K Ni I Br
2 1 2 2
Direct
0.249 0.749 0.502 K
0.751 0.251 0.498 K
0.000 0.000 0.000 Ni
0.748 0.250 0.000 I
0.252 0.750 0.000 I
0.203 0.203 0.595 Br
0.797 0.797 0.405 Br
```

Values from the calculation:
**Energy relative to the elements, uncorrected**: -94 kJ/mol of atoms
**V**: 38.49 Å³/atom